Record 1
## RbTlGa2Ru (GGA-PBE)

Data for an optimized crystal structure of RbTlGa2Ru.

* DOS(E_F): 1.319 states/eV per cell
* DFT formation energy: -0.14 eV per atom
* electronic total energy: -3.87 eV per atom

```
data_RbTlGa2Ru
_space_group_name_H-M_alt 'P 4/m m m'
_space_group_IT_number 123
_space_group_name_Hall '-P 4 2'
_cell_length_a 4.941
_cell_length_b 4.941
_cell_length_c 5.340
_cell_angle_alpha 90.00
_cell_angle_beta 90.00
_cell_angle_gamma 90.00
loop_
_atom_site_label
_atom_site_type_symbol
_atom_site_fract_x
_atom_site_fract_y
_atom_site_fract_z
Rb1 Rb 0.000 0.000 0.000
Tl1 Tl 0.500 0.500 0.000
Ga1 Ga 0.000 0.500 0.500
Ru1 Ru 0.500 0.500 0.500
```

=====

Record 2
## RbZnGa2Ru (GGA-PBE)

Data for an optimized crystal structure of RbZnGa2Ru.

* DOS(E_F): 2.114 states/eV per cell
* DFT formation energy: -0.16 eV per atom
* electronic total energy: -3.68 eV per atom

```
data_RbZnGa2Ru
_space_group_name_H-M_alt 'P 4/m m m'
_space_group_IT_number 123
_space_group_name_Hall '-P 4 2'
_cell_length_a 4.873
_cell_length_b 4.873
_cell_length_c 5.052
_cell_angle_alpha 90.00
_cell_angle_beta 90.00
_cell_angle_gamma 90.00
loop_
_atom_site_label
_atom_site_type_symbol
_atom_site_fract_x
_atom_site_fract_y
_atom_site_fract_z
Rb1 Rb 0.000 0.000 0.000
Zn1 Zn 0.500 0.500 0.000
Ga1 Ga 0.000 0.500 0.500
Ru1 Ru 0.500 0.500 0.500
```

=====

Record 3
## RbGaS2 (GGA-PBE)

Data for an optimized crystal structure of RbGaS2.

* DOS(E_F): 0.000 states/eV per cell
* electronic total energy: -4.05 eV per atom
* formation energy without anion corrections: -0.9923 eV per atom

```
data_RbGaS2
_space_group_name_H-M_alt 'I -4 2 d'
_space_group_IT_number 122
_space_group_name_Hall 'I -4 2bw'
_cell_length_a 7.133
_cell_length_b 7.133
_cell_length_c 8.674
_cell_angle_alpha 90.00
_cell_angle_beta 90.00
_cell_angle_gamma 90.00
loop_
_atom_site_label
_atom_site_type_symbol
_atom_site_fract_x
_atom_site_fract_y
_atom_site_fract_z
Rb1 Rb 0.000 0.000 0.000
Ga1 Ga 0.000 0.000 0.500
S1 S 0.141 0.250 0.625
```

=====

Record 4
## RbGa3S (GGA-PBE)

Data for an optimized crystal structure of RbGa3S.

* DOS(E_F): 3.746 states/eV per cell
* electronic total energy: -1.62 eV per atom
* formation energy without anion corrections: 1.2148 eV per atom
* excess energy over the best structure of this formula in the dataset: 1029.9 meV/atom

```
data_RbGa3S
_space_group_name_H-M_alt 'P m -3 m'
_space_group_IT_number 221
_space_group_name_Hall '-P 4 2 3'
_cell_length_a 5.998
_cell_length_b 5.998
_cell_length_c 5.998
_cell_angle_alpha 90.00
_cell_angle_beta 90.00
_cell_angle_gamma 90.00
loop_
_atom_site_label
_atom_site_type_symbol
_atom_site_fract_x
_atom_site_fract_y
_atom_site_fract_z
Rb1 Rb 0.000 0.000 0.000
Ga1 Ga 0.000 0.000 0.500
S1 S 0.500 0.500 0.500
```

=====

Record 5
## Rb2GaS2 (GGA-PBE)

Data for an optimized crystal structure of Rb2GaS2.

* DOS(E_F): 6.376 states/eV per cell
* electronic total energy: -2.87 eV per atom
* formation energy without anion corrections: -0.2252 eV per atom
* excess energy over the best structure of this formula in the dataset: 292.9 meV/atom

```
data_Rb2GaS2
_space_group_name_H-M_alt 'I 4/m m m'
_space_group_IT_number 139
_space_group_name_Hall '-I 4 2'
_cell_length_a 5.597
_cell_length_b 5.597
_cell_length_c 11.526
_cell_angle_alpha 90.00
_cell_angle_beta 90.00
_cell_angle_gamma 90.00
loop_
_atom_site_label
_atom_site_type_symbol
_atom_site_fract_x
_atom_site_fract_y
_atom_site_fract_z
Rb1 Rb 0.000 0.500 0.250
Ga1 Ga 0.000 0.000 0.000
S1 S 0.000 0.000 0.407
```

=====

Record 6
## Rb2GaS4 (GGA-PBE)

Data for an optimized crystal structure of Rb2GaS4.

* DOS(E_F): 16.012 states/eV per cell
* electronic total energy: -3.43 eV per atom
* formation energy without anion corrections: -0.3629 eV per atom

```
data_Rb2GaS4
_space_group_name_H-M_alt 'I 4/m m m'
_space_group_IT_number 139
_space_group_name_Hall '-I 4 2'
_cell_length_a 5.088
_cell_length_b 5.088
_cell_length_c 16.159
_cell_angle_alpha 90.00
_cell_angle_beta 90.00
_cell_angle_gamma 90.00
loop_
_atom_site_label
_atom_site_type_symbol
_atom_site_fract_x
_atom_site_fract_y
_atom_site_fract_z
Rb1 Rb 0.000 0.000 0.143
Ga1 Ga 0.000 0.000 0.500
S1 S 0.000 0.000 0.359
S2 S 0.000 0.500 0.000
```

=====

Record 7
## RbGaS2 (GGA-PBE)

Data for an optimized crystal structure of RbGaS2.

* DOS(E_F): 0.000 states/eV per cell
* electronic total energy: -3.76 eV per atom
* formation energy without anion corrections: -0.6999 eV per atom

```
data_RbGaS2
_space_group_name_H-M_alt 'R -3 m'
_space_group_IT_number 166
_space_group_name_Hall '-R 3 2"'
_cell_length_a 5.1053
_cell_length_b 5.1053
_cell_length_c 22.2536
_cell_angle_alpha 90.00
_cell_angle_beta 90.00
_cell_angle_gamma 120.00
loop_
_atom_site_label
_atom_site_type_symbol
_atom_site_fract_x
_atom_site_fract_y
_atom_site_fract_z
Rb1 Rb 0.0000 0.0000 0.0000
Ga1 Ga 0.0000 0.0000 0.5000
S1 S 0.0000 0.0000 0.4073
```

=====

Record 8
## RbGaS2 (GGA-PBE)

Data for an optimized crystal structure of RbGaS2.

* DOS(E_F): 0.000 states/eV per cell
* electronic total energy: -4.11 eV per atom
* formation energy without anion corrections: -1.0519 eV per atom

```
data_RbGaS2
_space_group_name_H-M_alt 'C 1 2/c 1'
_space_group_IT_number 15
_cell_length_a 10.673
_cell_length_b 10.665
_cell_length_c 15.642
_cell_angle_alpha 90.00
_cell_angle_beta 99.82
_cell_angle_gamma 90.00
loop_
_space_group_symop_operation_xyz
'x,y,z'
'-x,-y,-z'
'-x,y,-z+1/2'
'x,-y,z+1/2'
'x+1/2,y+1/2,z'
'-x+1/2,-y+1/2,-z'
'-x+1/2,y+1/2,-z+1/2'
'x+1/2,-y+1/2,z+1/2'
loop_
_atom_site_label
_atom_site_type_symbol
_atom_site_fract_x
_atom_site_fract_y
_atom_site_fract_z
Rb1 Rb 0.037 0.187 0.394
Rb2 Rb 0.214 0.438 0.106
Ga1 Ga 0.103 0.189 0.668
Ga2 Ga 0.144 0.436 0.832
S1 S 0.000 0.059 0.750
S2 S 0.000 0.434 0.250
S3 S 0.043 0.312 0.923
S4 S 0.208 0.063 0.581
S5 S 0.247 0.188 0.250
```

=====

What did the eighth record say?
## RbGaS2 (GGA-PBE)

Data for an optimized crystal structure of RbGaS2.

* DOS(E_F): 0.000 states/eV per cell
* electronic total energy: -4.11 eV per atom
* formation energy without anion corrections: -1.0519 eV per atom

```
data_RbGaS2
_space_group_name_H-M_alt 'C 1 2/c 1'
_space_group_IT_number 15
_cell_length_a 10.673
_cell_length_b 10.665
_cell_length_c 15.642
_cell_angle_alpha 90.00
_cell_angle_beta 99.82
_cell_angle_gamma 90.00
loop_
_space_group_symop_operation_xyz
'x,y,z'
'-x,-y,-z'
'-x,y,-z+1/2'
'x,-y,z+1/2'
'x+1/2,y+1/2,z'
'-x+1/2,-y+1/2,-z'
'-x+1/2,y+1/2,-z+1/2'
'x+1/2,-y+1/2,z+1/2'
loop_
_atom_site_label
_atom_site_type_symbol
_atom_site_fract_x
_atom_site_fract_y
_atom_site_fract_z
Rb1 Rb 0.037 0.187 0.394
Rb2 Rb 0.214 0.438 0.106
Ga1 Ga 0.103 0.189 0.668
Ga2 Ga 0.144 0.436 0.832
S1 S 0.000 0.059 0.750
S2 S 0.000 0.434 0.250
S3 S 0.043 0.312 0.923
S4 S 0.208 0.063 0.581
S5 S 0.247 0.188 0.250
```

=====

- Which formula does entry 3 have?
  RbGaS2

=====

- What is the DOS(E_F) in the third record?
  0.000 states/eV per cell